#i
Entry from the Alexandria database: a relaxed structure of HoInHg6 (PBE-GGA).

Lattice parameters (Å, degrees): 4.799 4.799 8.614 90.00 90.00 90.00
Fractional coordinates of all 8 atoms:
1 Ho 0.000 0.000 0.500
2 In 0.000 0.000 0.000
3 Hg 0.500 0.500 0.000
4 Hg 0.500 0.500 0.500
5 Hg 0.500 0.000 0.252
6 Hg 0.500 0.000 0.748
7 Hg 0.000 0.500 0.252
8 Hg 0.000 0.500 0.748

## Properties
Size of the total moment ... 0.0 μB per cell

---

#ii
Entry from the Alexandria database: a relaxed structure of HoInHg6 (PBE-GGA).

Lattice parameters (Å, degrees): 8.342 8.342 6.111 46.96 46.96 60.00
Fractional coordinates of all 8 atoms:
1 Ho 0.000 0.000 0.000
2 In 0.500 0.500 0.500
3 Hg 0.159 0.159 0.153
4 Hg 0.159 0.530 0.153
5 Hg 0.470 0.841 0.847
6 Hg 0.841 0.470 0.847
7 Hg 0.841 0.841 0.847
8 Hg 0.530 0.159 0.153

## Properties
Size of the total moment ... 0.0 μB per cell

---

It comes down to #i, which is 0.117 eV/atom more stable than the next structure.